Crystalline Pm8ErTl2 at its relaxed geometry, computed with PBE.

a = 6.211 Å, b = 10.098 Å, c = 10.098 Å
α = 39.27°, β = 64.85°, γ = 64.85°
Fractional positions:
Pm (0.220, 0.085, 0.566)
Pm (0.220, 0.566, 0.085)
Pm (0.780, 0.915, 0.434)
Pm (0.271, 0.490, 0.490)
Pm (0.780, 0.434, 0.915)
Pm (0.337, 0.125, 0.125)
Pm (0.663, 0.875, 0.875)
Pm (0.729, 0.510, 0.510)
Er (0.000, 0.000, 0.000)
Tl (0.749, 0.323, 0.323)
Tl (0.251, 0.677, 0.677)

Calculated values
Crystal system: monoclinic
Size of the total moment (Bohr magnetons per cell): 0.00
ΔH_f (0 K) (eV/f.u.): -0.462